(1)
VASP calculation (PBE-GGA) on crystalline VBAs2Ru at its relaxed geometry.

Computed properties:
**VASP energy**: -5.40 eV per atom
**DOS at the Fermi energy**: 5.25 states/eV/cell

Cell lengths 4.639, 4.476, 4.639 Å; angles 90.00, 90.00, 90.00 degrees
Fractional coordinates of all 5 atoms:
B1 0.500 0.500 0.500
Ru1 0.000 0.500 0.000
As1 0.000 0.000 0.500
As2 0.500 0.000 0.000
V1 0.000 0.000 0.000

=====

(2)
VASP calculation (PBE-GGA) on crystalline Pm8Pr2Sm3 at its relaxed geometry.

Computed properties:
**Energy relative to the lowest polymorph listed for this composition**: 57.5 meV/atom
**DOS at the Fermi energy**: 20.94 states/eV/cell

Cell lengths 5.754, 7.732, 11.125 Å; angles 110.33, 90.02, 90.00 degrees
Fractional coordinates of all 13 atoms:
Pr1 0.501 0.759 0.517
Pr2 0.499 0.241 0.483
Pm1 0.500 0.397 0.210
Pm2 0.500 0.603 0.790
Pm3 0.500 0.813 0.210
Pm4 0.500 0.187 0.790
Pm5 0.000 0.132 0.264
Pm6 0.999 0.331 0.663
Pm7 0.001 0.669 0.337
Pm8 0.000 0.868 0.736
Sm1 0.000 0.288 0.000
Sm2 0.000 0.712 0.000
Sm3 0.500 0.000 0.000

=====

(3)
VASP calculation (PBE-GGA) on crystalline PuSN at its relaxed geometry.

Computed properties:
**Energy relative to the lowest polymorph listed for this composition**: 0.0 meV/atom
**Uncorrected formation energy**: -1.10 eV per atom
**DOS at the Fermi energy**: 30.22 states/eV/cell

Cell lengths 3.905, 7.947, 8.876 Å; angles 77.04, 90.00, 90.00 degrees
Fractional coordinates of all 12 atoms:
S1 0.249 0.664 0.345
S2 0.751 0.336 0.655
S3 0.749 0.836 0.655
S4 0.251 0.164 0.345
N1 0.941 0.484 0.061
N2 0.559 0.984 0.061
N3 0.441 0.016 0.939
N4 0.059 0.516 0.939
Pu1 0.256 0.082 0.670
Pu2 0.756 0.418 0.330
Pu3 0.744 0.918 0.330
Pu4 0.244 0.582 0.670

=====

(4)
VASP calculation (PBE-GGA) on crystalline Li2LaPuTe4 at its relaxed geometry.

Computed properties:
**Uncorrected formation energy**: -1.18 eV per atom
**DOS at the Fermi energy**: 15.01 states/eV/cell

Cell lengths 4.491, 7.778, 7.493 Å; angles 110.37, 90.00, 90.00 degrees
Fractional coordinates of all 8 atoms:
Te1 0.500 0.739 0.736
Te2 0.000 0.745 0.258
Te3 0.500 0.261 0.264
Te4 0.000 0.255 0.742
Li1 0.000 0.500 0.500
Li2 0.500 0.000 0.500
Pu1 0.500 0.500 0.000
La1 0.000 0.000 0.000

=====

(5)
VASP calculation (PBE-GGA) on crystalline Cs2AcGe2S6 at its relaxed geometry.

Computed properties:
**Uncorrected formation energy**: -0.97 eV per atom
**DOS at the Fermi energy**: 4.56 states/eV/cell

Cell lengths 7.543, 7.534, 8.543 Å; angles 117.03, 90.00, 120.04 degrees
Fractional coordinates of all 11 atoms:
Cs1 0.717 0.433 0.207
Cs2 0.283 0.567 0.793
S1 0.240 0.479 0.330
S2 0.285 0.081 0.791
S3 0.760 0.521 0.670
S4 0.204 0.919 0.209
S5 0.715 0.919 0.209
S6 0.796 0.081 0.791
Ac1 0.500 0.000 0.500
Ge1 0.958 0.916 0.815
Ge2 0.042 0.084 0.185

=====

(6)
VASP calculation (PBE-GGA) on crystalline LaNd2PuN4 at its relaxed geometry.

Computed properties:
**Uncorrected formation energy**: -1.30 eV per atom
**DOS at the Fermi energy**: 8.20 states/eV/cell

Cell lengths 3.630, 6.285, 6.263 Å; angles 109.28, 90.00, 90.00 degrees
Fractional coordinates of all 8 atoms:
Nd1 0.500 0.000 0.500
Nd2 0.000 0.500 0.500
N1 0.000 0.765 0.242
N2 0.000 0.235 0.758
N3 0.500 0.231 0.234
N4 0.500 0.769 0.766
La1 0.500 0.500 0.000
Pu1 0.000 0.000 0.000

=====

(7)
VASP calculation (PBE-GGA) on crystalline MgNbO3 at its relaxed geometry.

Computed properties:
**Uncorrected formation energy**: -2.43 eV per atom
**DOS at the Fermi energy**: 3.36 states/eV/cell

Cell lengths 3.185, 5.016, 7.421 Å; angles 90.00, 90.00, 90.00 degrees
Fractional coordinates of all 10 atoms:
Nb1 0.000 0.000 0.000
Nb2 0.000 0.000 0.500
O1 0.500 0.247 0.935
O2 0.500 0.753 0.065
O3 0.000 0.786 0.750
O4 0.500 0.247 0.565
O5 0.000 0.214 0.250
O6 0.500 0.753 0.435
Mg1 0.500 0.541 0.750
Mg2 0.500 0.459 0.250

=====

(8)
VASP calculation (PBE-GGA) on crystalline ReTcTe at its relaxed geometry.

Computed properties:
**Energy relative to the lowest polymorph listed for this composition**: 260.1 meV/atom
**Uncorrected formation energy**: 0.68 eV per atom
**DOS at the Fermi energy**: 5.36 states/eV/cell

Cell lengths 4.438, 4.438, 6.090 Å; angles 90.00, 90.00, 120.00 degrees
Fractional coordinates of all 6 atoms:
Re1 0.111 0.222 0.777
Re2 0.111 0.222 0.223
Tc1 0.444 0.889 0.000
Tc2 0.445 0.889 0.500
Te1 0.778 0.555 0.741
Te2 0.778 0.555 0.259

=====

(9)
VASP calculation (PBE-GGA) on crystalline LiTeSI2 at its relaxed geometry.

Computed properties:
**Energy relative to the lowest polymorph listed for this composition**: 342.5 meV/atom
**Uncorrected formation energy**: 0.41 eV per atom
**DOS at the Fermi energy**: 5.14 states/eV/cell

Cell lengths 5.085, 5.085, 5.638 Å; angles 90.00, 90.00, 90.00 degrees
Fractional coordinates of all 5 atoms:
I1 0.000 0.500 0.000
I2 0.500 0.000 0.000
S1 0.500 0.500 0.500
Te1 0.000 0.000 0.500
Li1 0.000 0.000 0.000

=====

(10)
VASP calculation (PBE-GGA) on crystalline Cs2NbI4 at its relaxed geometry.

Computed properties:
**Uncorrected formation energy**: -0.90 eV per atom
**DOS at the Fermi energy**: 3.17 states/eV/cell

Cell lengths 5.889, 5.889, 10.408 Å; angles 73.57, 73.57, 90.00 degrees
Fractional coordinates of all 7 atoms:
I1 0.500 0.000 0.000
I2 0.000 0.500 0.000
I3 0.155 0.155 0.691
I4 0.845 0.845 0.309
Cs1 0.359 0.359 0.281
Cs2 0.641 0.641 0.719
Nb1 0.000 0.000 0.000

=====

(11)
VASP calculation (PBE-GGA) on crystalline AcTbF at its relaxed geometry.

Computed properties:
**Uncorrected formation energy**: -1.59 eV per atom
**DOS at the Fermi energy**: 5.08 states/eV/cell

Cell lengths 3.998, 3.998, 13.018 Å; angles 81.17, 81.17, 60.00 degrees
Fractional coordinates of all 6 atoms:
Tb1 0.869 0.869 0.394
Tb2 0.131 0.131 0.606
Ac1 0.385 0.385 0.844
Ac2 0.615 0.615 0.156
F1 0.315 0.315 0.055
F2 0.685 0.685 0.945